A plane-wave DFT calculation with PBE was carried out for a relaxed TiCoIrPt crystal.

```
TiCoIrPt
1.0
3.7341 0.0000 0.0000
0.0000 3.7977 0.0000
0.0000 0.0000 3.8934
Ti Co Ir Pt
1 1 1 1
direct
0.0000 0.0000 0.0000 Ti
0.0000 0.5000 0.5000 Co
0.5000 0.5000 0.0000 Ir
0.5000 0.0000 0.5000 Pt
```

Calculated values
magnetic moment	0.0	μB per cell
space group	Pmmm, No. 47
E	-8.13	eV/atom

=====

A plane-wave DFT calculation with PBE was carried out for a relaxed PuCoIr crystal.

```
PuCoIr
1.0
4.0797 0.0000 0.0000
-2.0398 3.5331 0.0000
0.0000 0.0000 3.8810
Pu Co Ir
1 1 1
direct
0.0000 0.0000 0.0000 Pu
0.3333 0.6667 0.5000 Co
0.6667 0.3333 0.5000 Ir
```

Calculated values
magnetic moment	3.9	μB per cell
space group	P-6m2, No. 187
E	-10.33	eV/atom

=====

A plane-wave DFT calculation with PBE was carried out for a relaxed Pu2CoIr crystal.

```
Pu2CoIr
1.0
4.7081 0.0000 0.0000
0.0000 4.7081 0.0000
0.0000 0.0000 3.4947
Pu Co Ir
2 1 1
direct
0.0000 0.5000 0.0000 Pu
0.5000 0.0000 0.0000 Pu
0.0000 0.0000 0.5000 Co
0.5000 0.5000 0.5000 Ir
```

Calculated values
magnetic moment	9.1	μB per cell
space group	P4/mmm, No. 123
E	-11.34	eV/atom
E above lowest polymorph	10.6	meV/atom